LiOsAu: optimized geometry, PBE.

Excess energy over the best structure of this formula in the dataset = 0 meV per atom

Lattice parameters (Å, degrees): 6.0398 6.0398 6.0398 90.00 90.00 90.00
Last column: nearest neighbours and their distance in Å.
Space group F-43m (No. 216)
One atom of each set of equivalent atoms:
Li1 0.0000 0.0000 0.0000  4 Au 2.62
Os1 0.0000 0.0000 0.5000  4 Au 2.62
Au1 0.2500 0.2500 0.2500  4 Li 2.62, 4 Os 2.62

In3Sn2Pt2: optimized geometry, PBE.

Lattice parameters (Å, degrees): 4.6787 4.6787 17.2108 90.00 90.00 120.00
Last column: nearest neighbours and their distance in Å.
Space group P6_3/mmc (No. 194)
One atom of each set of equivalent atoms:
In1 0.0000 0.0000 0.1586  1 Pt 2.73
In2 0.3333 0.6667 0.2500  3 Pt 2.70
Sn1 0.3333 0.6667 0.5569  3 Pt 2.87
Pt1 0.0000 0.0000 0.0000  2 In 2.73, 6 Sn 2.87
Pt2 0.3333 0.6667 0.7500  3 In 2.70

PrHoSbBr2: optimized geometry, PBE.

Lattice parameters (Å, degrees): 4.2969 4.2969 10.9668 90.00 90.00 120.00
Last column: nearest neighbours and their distance in Å.
Space group P3m1 (No. 156)
One atom of each set of equivalent atoms:
Pr1 0.0000 0.0000 0.0000  3 Br 3.07, 3 Sb 3.11
Ho1 0.6667 0.3333 0.6770  3 Sb 2.99, 3 Br 2.99
Sb1 0.3333 0.6667 0.8285  3 Ho 2.99, 3 Pr 3.11
Br1 0.0000 0.0000 0.5249  3 Ho 2.99
Br2 0.6667 0.3333 0.1649  3 Pr 3.07

Tm2Zn2O5: optimized geometry, PBE.

Excess energy over the best structure of this formula in the dataset = 0 meV per atom

Lattice parameters (Å, degrees): 3.8748 3.8748 6.9908 90.00 90.00 90.00
Last column: nearest neighbours and their distance in Å.
Space group P4/mmm (No. 123)
One atom of each set of equivalent atoms:
Tm1 0.0000 0.0000 0.0000  8 O 2.39
Tm2 0.0000 0.0000 0.5000  12 O 2.74-2.85
Zn1 0.5000 0.5000 0.2236  5 O 1.93-1.94
O1 0.0000 0.5000 0.2001  2 Zn 1.94
O2 0.5000 0.5000 0.5000  2 Zn 1.93

Final energy: -55.1, -60.1, -24.2, -55.6 (eV per cell)